[1]
ScCrAu2: PBEsol geometry, SCAN.

Values from the calculation:
The value obtained for the formation energy is -0.66 eV per atom. As for the density of states at the Fermi level: 4.49 states/eV/cell. The calculation puts the total magnetization at 4.30 μB per formula unit.

abc: 4.572 4.572 6.623
angles: 90.00 90.00 90.00
Space group I4/mmm (No. 139)
Inequivalent atoms, fractional coordinates:
Sc  0.000  0.000  0.000 (multiplicity 2)
Cr  0.000  0.000  0.500 (multiplicity 2)
Au  0.000  0.500  0.250 (multiplicity 4)

---

[2]
LiScMn2: PBEsol geometry, SCAN.

Values from the calculation:
The value obtained for the formation energy is 0.25 eV per atom. As for the density of states at the Fermi level: 3.30 states/eV/cell. The calculation puts the relative energy among the computed polymorphs at 142.7 meV/atom. The calculation puts the total magnetization at 0.11 μB per formula unit.

abc: 2.731 3.738 5.614
angles: 90.00 103.32 90.00
Space group Pm (No. 6)
Inequivalent atoms, fractional coordinates:
Li  0.000  0.000  0.000 (multiplicity 1)
Sc  0.389  0.500  0.685 (multiplicity 1)
Mn  0.491  0.500  0.259 (multiplicity 1)
Mn  0.837  0.000  0.408 (multiplicity 1)

---

[3]
MoSe2SN: PBEsol geometry, SCAN.

Values from the calculation:
As for the density of states at the Fermi level: 2.13 states/eV/cell. The calculation puts the uncorrected formation energy at 1.08 eV/atom. The calculation puts the total magnetization at 2.33 μB per formula unit.

abc: 4.877 4.877 3.255
angles: 90.00 90.00 90.00
Space group P4/mmm (No. 123)
Inequivalent atoms, fractional coordinates:
Mo  0.000  0.000  0.000 (multiplicity 1)
Se  0.000  0.500  0.500 (multiplicity 2)
S  0.500  0.500  0.500 (multiplicity 1)
N  0.500  0.500  0.000 (multiplicity 1)

---

[4]
YCd5: PBEsol geometry, SCAN.

Values from the calculation:
The value obtained for the formation energy is -0.17 eV per atom. As for the density of states at the Fermi level: 2.20 states/eV/cell. The calculation puts the total magnetization at 0.43 μB per formula unit.

abc: 3.444 3.444 11.052
angles: 90.00 90.00 90.00
Space group P4/mmm (No. 123)
Inequivalent atoms, fractional coordinates:
Y  0.000  0.000  0.000 (multiplicity 1)
Cd  0.000  0.000  0.339 (multiplicity 2)
Cd  0.500  0.500  0.185 (multiplicity 2)
Cd  0.500  0.500  0.500 (multiplicity 1)